# 1
## TaTlMo2 (PBE-GGA)

Data for crystalline TaTlMo2 at its relaxed geometry.

Computed properties:
Its formation energy is 0.43 eV per atom. The offset from the most stable computed form comes out at 91 meV per atom. As for the space group: P2/m.

abc: 2.8813 4.6020 5.6621
angles: 90.00 101.12 90.00
Sites, in units of the cell vectors:
Ta  0.0000  0.0000  0.0000
Tl  0.5000  0.0000  0.5000
Mo  0.2695  0.5000  0.7844
Mo  0.7305  0.5000  0.2156

***

# 2
## Nb2RuBr (PBE-GGA)

Data for crystalline Nb2RuBr at its relaxed geometry.

Computed properties:
The offset from the most stable computed form comes out at 152 meV per atom. As for the space group: I-42d.

abc: 5.8290 5.8290 5.8290
angles: 104.82 104.82 119.24
Sites, in units of the cell vectors:
Nb  0.1151  0.6250  0.9901
Nb  0.3750  0.3651  0.4901
Nb  0.6349  0.1250  0.0099
Nb  0.8750  0.8849  0.5099
Ru  0.0000  0.0000  0.0000
Ru  0.7500  0.2500  0.5000
Br  0.2500  0.7500  0.5000
Br  0.5000  0.5000  0.0000

***

# 3
## Ca3NdPt (PBE-GGA)

Data for crystalline Ca3NdPt at its relaxed geometry.

Computed properties:
Its formation energy is -0.29 eV per atom. As for the space group: Pm-3m.

abc: 5.6097 5.6097 5.6097
angles: 90.00 90.00 90.00
Sites, in units of the cell vectors:
Ca  0.0000  0.0000  0.5000
Ca  0.0000  0.5000  0.0000
Ca  0.5000  0.0000  0.0000
Nd  0.5000  0.5000  0.5000
Pt  0.0000  0.0000  0.0000

***

# 4
## Pr3Pd2Au (PBE-GGA)

Data for crystalline Pr3Pd2Au at its relaxed geometry.

Computed properties:
Its formation energy is -0.60 eV per atom. As for the space group: Cmmm.

abc: 8.3979 8.3979 4.6779
angles: 90.00 90.00 152.95
Sites, in units of the cell vectors:
Pr  0.0000  0.0000  0.0000
Pr  0.1608  0.8392  0.5000
Pr  0.8392  0.1608  0.5000
Pd  0.3156  0.6844  0.0000
Pd  0.6844  0.3156  0.0000
Au  0.5000  0.5000  0.5000

***

# 5
## LiMnCo2 (PBE-GGA)

Data for crystalline LiMnCo2 at its relaxed geometry.

Computed properties:
Its formation energy is 0.59 eV per atom. The offset from the most stable computed form comes out at 446 meV per atom. As for the space group: I-42d.

abc: 5.0649 5.0649 5.0649
angles: 103.62 103.62 121.95
Sites, in units of the cell vectors:
Li  0.0000  0.0000  0.0000
Li  0.7500  0.2500  0.5000
Mn  0.2500  0.7500  0.5000
Mn  0.5000  0.5000  0.0000
Co  0.1510  0.6250  0.0260
Co  0.3750  0.4010  0.5260
Co  0.5990  0.1250  0.9740
Co  0.8750  0.8490  0.4740

***

# 6
## BaLiOs2 (PBE-GGA)

Data for crystalline BaLiOs2 at its relaxed geometry.

Computed properties:
Its formation energy is 0.66 eV per atom. The offset from the most stable computed form comes out at 421 meV per atom. As for the space group: P2/m.

abc: 4.2653 4.7568 4.3902
angles: 90.00 106.91 90.00
Sites, in units of the cell vectors:
Ba  0.0000  0.0000  0.0000
Li  0.5000  0.0000  0.5000
Os  0.2979  0.5000  0.6369
Os  0.7021  0.5000  0.3631

***

# 7
## NaAs3Se (PBE-GGA)

Data for crystalline NaAs3Se at its relaxed geometry.

Computed properties:
The offset from the most stable computed form comes out at 0 meV per atom. As for the space group: Pm-3m.

abc: 5.1327 5.1327 5.1327
angles: 90.00 90.00 90.00
Sites, in units of the cell vectors:
Na  0.0000  0.0000  0.0000
As  0.0000  0.5000  0.5000
As  0.5000  0.0000  0.5000
As  0.5000  0.5000  0.0000
Se  0.5000  0.5000  0.5000

***

# 8
## KDy2Rh (PBE-GGA)

Data for crystalline KDy2Rh at its relaxed geometry.

Computed properties:
Its formation energy is -0.29 eV per atom. As for the space group: R-3m.

abc: 11.2050 11.2050 11.2050
angles: 20.80 20.80 20.80
Sites, in units of the cell vectors:
K  0.0000  0.0000  0.0000
Dy  0.1230  0.1230  0.1230
Dy  0.8770  0.8770  0.8770
Rh  0.5000  0.5000  0.5000

***

# 9
## HfZr2TlH (PBE-GGA)

Data for crystalline HfZr2TlH at its relaxed geometry.

Computed properties:
The offset from the most stable computed form comes out at 128 meV per atom. As for the space group: P4/mmm.

abc: 4.2845 4.2845 5.0360
angles: 90.00 90.00 90.00
Sites, in units of the cell vectors:
Hf  0.0000  0.0000  0.0000
Zr  0.0000  0.5000  0.5000
Zr  0.5000  0.0000  0.5000
Tl  0.5000  0.5000  0.0000
H  0.5000  0.5000  0.5000

***

# 10
## MgInSi2 (PBE-GGA)

Data for crystalline MgInSi2 at its relaxed geometry.

Computed properties:
The offset from the most stable computed form comes out at 182 meV per atom. As for the space group: F-43m.

abc: 4.7968 4.7968 4.7968
angles: 60.00 60.00 60.00
Sites, in units of the cell vectors:
Mg  0.0000  0.0000  0.0000
In  0.7500  0.7500  0.7500
Si  0.2500  0.2500  0.2500
Si  0.5000  0.5000  0.5000

***

# 11
## Ba2LiBi (PBE-GGA)

Data for crystalline Ba2LiBi at its relaxed geometry.

Computed properties:
Its formation energy is -0.55 eV per atom. As for the space group: R3m.

abc: 9.1497 9.1497 9.1497
angles: 31.14 31.14 31.14
Sites, in units of the cell vectors:
Ba  0.0000  0.0000  0.0000
Ba  0.1827  0.1827  0.1827
Li  0.4222  0.4222  0.4222
Bi  0.7618  0.7618  0.7618

***

# 12
## LaCoGe2 (PBE-GGA)

Data for crystalline LaCoGe2 at its relaxed geometry.

Computed properties:
Its formation energy is -0.66 eV per atom. As for the space group: Cmmm.

abc: 8.8877 8.8877 4.2873
angles: 90.00 90.00 152.70
Sites, in units of the cell vectors:
La  0.1425  0.8575  0.0000
La  0.8575  0.1425  0.0000
Co  0.4291  0.5709  0.5000
Co  0.5709  0.4291  0.5000
Ge  0.0000  0.0000  0.5000
Ge  0.2933  0.7067  0.5000
Ge  0.5000  0.5000  0.0000
Ge  0.7067  0.2933  0.5000

***

# 13
## ReAgCl2 (PBE-GGA)

Data for crystalline ReAgCl2 at its relaxed geometry.

Computed properties:
The offset from the most stable computed form comes out at 330 meV per atom. As for the space group: I-42d.

abc: 6.4431 6.4431 6.4431
angles: 100.44 100.44 129.62
Sites, in units of the cell vectors:
Re  0.0000  0.0000  0.0000
Re  0.7500  0.2500  0.5000
Ag  0.2500  0.7500  0.5000
Ag  0.5000  0.5000  0.0000
Cl  0.3750  0.0229  0.1479
Cl  0.7729  0.6250  0.6479
Cl  0.8750  0.2271  0.8521
Cl  0.9771  0.1250  0.3521

***

# 14
## CaOs2Rh (PBE-GGA)

Data for crystalline CaOs2Rh at its relaxed geometry.

Computed properties:
Its formation energy is 0.52 eV per atom. The offset from the most stable computed form comes out at 299 meV per atom. As for the space group: Pmmm.

abc: 2.7131 4.0990 6.2206
angles: 90.00 90.00 90.00
Sites, in units of the cell vectors:
Ca  0.0000  0.0000  0.0000
Os  0.5000  0.5000  0.3019
Os  0.5000  0.5000  0.6981
Rh  0.0000  0.0000  0.5000

***

# 15
## MnGePN (PBE-GGA)

Data for crystalline MnGePN at its relaxed geometry.

Computed properties:
The offset from the most stable computed form comes out at 77 meV per atom. As for the space group: Amm2.

abc: 2.6784 6.4337 6.4337
angles: 32.65 90.00 90.00
Sites, in units of the cell vectors:
Mn  0.0000  0.0000  0.0000
Ge  0.5000  0.5793  0.5793
P  0.0000  0.8286  0.8286
N  0.5000  0.7448  0.7448

***

# 16
## BaNi3Te (PBE-GGA)

Data for crystalline BaNi3Te at its relaxed geometry.

Computed properties:
The offset from the most stable computed form comes out at 1412 meV per atom. As for the space group: Pm-3m.

abc: 4.9389 4.9389 4.9389
angles: 90.00 90.00 90.00
Sites, in units of the cell vectors:
Ba  0.0000  0.0000  0.0000
Ni  0.0000  0.0000  0.5000
Ni  0.0000  0.5000  0.0000
Ni  0.5000  0.0000  0.0000
Te  0.5000  0.5000  0.5000

***

# 17
## Nd2HoSi (PBE-GGA)

Data for crystalline Nd2HoSi at its relaxed geometry.

Computed properties:
The offset from the most stable computed form comes out at 0 meV per atom. As for the space group: P4/mmm.

abc: 4.7109 4.7109 4.7751
angles: 90.00 90.00 90.00
Sites, in units of the cell vectors:
Nd  0.0000  0.5000  0.0000
Nd  0.5000  0.0000  0.0000
Ho  0.0000  0.0000  0.5000
Si  0.5000  0.5000  0.5000

***

# 18
## YCu2OsRh (PBE-GGA)

Data for crystalline YCu2OsRh at its relaxed geometry.

Computed properties:
Its formation energy is 2.04 eV per atom. As for the space group: P4/mmm.

abc: 4.7510 4.7510 4.8107
angles: 90.00 90.00 90.00
Sites, in units of the cell vectors:
Y  0.0000  0.0000  0.0000
Cu  0.0000  0.5000  0.0000
Cu  0.5000  0.0000  0.0000
Os  0.0000  0.0000  0.5000
Rh  0.5000  0.5000  0.5000

***

# 19
## ZrVNi (PBE-GGA)

Data for crystalline ZrVNi at its relaxed geometry.

Computed properties:
Its formation energy is -0.08 eV per atom. The offset from the most stable computed form comes out at 165 meV per atom. As for the space group: P1.

abc: 3.0645 4.2955 7.2566
angles: 84.10 88.40 88.27
Sites, in units of the cell vectors:
Zr  0.0000  0.0000  0.0000
Zr  0.4205  0.5344  0.7146
V  0.3893  0.0814  0.3491
V  0.5525  0.4905  0.1409
Ni  0.8954  0.0560  0.6186
Ni  0.9556  0.6092  0.4018

***

# 20
## ReTcPb2 (PBE-GGA)

Data for crystalline ReTcPb2 at its relaxed geometry.

Computed properties:
Its formation energy is 0.72 eV per atom. The offset from the most stable computed form comes out at 394 meV per atom. As for the space group: Amm2.

abc: 4.3245 5.4519 5.4519
angles: 42.15 90.00 90.00
Sites, in units of the cell vectors:
Re  0.0000  0.0000  0.0000
Tc  0.5000  0.1177  0.1177
Pb  0.0000  0.7132  0.7132
Pb  0.5000  0.4048  0.4048

***

# 21
## Pm2Sm6DyTm3 (PBE-GGA)

Data for crystalline Pm2Sm6DyTm3 at its relaxed geometry.

Computed properties:
Its formation energy is 0.02 eV per atom. As for the space group: C2/m.

abc: 6.2239 6.2239 11.8510
angles: 95.01 95.01 119.99
Sites, in units of the cell vectors:
Pm  0.1667  0.8333  0.0000
Pm  0.8333  0.1667  0.0000
Sm  0.0826  0.4153  0.7464
Sm  0.2520  0.2520  0.2539
Sm  0.4153  0.0826  0.7464
Sm  0.5847  0.9174  0.2536
Sm  0.7480  0.7480  0.7461
Sm  0.9174  0.5847  0.2536
Dy  0.5000  0.5000  0.0000
Tm  0.0000  0.0000  0.5000
Tm  0.3334  0.6666  0.5000
Tm  0.6666  0.3334  0.5000

***

# 22
## Tl2CuSi (PBE-GGA)

Data for crystalline Tl2CuSi at its relaxed geometry.

Computed properties:
The offset from the most stable computed form comes out at 362 meV per atom. As for the space group: C2/m.

abc: 5.1851 5.1851 3.3468
angles: 93.84 93.84 101.48
Sites, in units of the cell vectors:
Tl  0.0000  0.5000  0.0000
Tl  0.5000  0.0000  0.0000
Cu  0.0000  0.0000  0.5000
Si  0.5000  0.5000  0.5000

***

# 23
## Ti3AuN (PBE-GGA)

Data for crystalline Ti3AuN at its relaxed geometry.

Computed properties:
As for the space group: P4mm. The total energy comes out at -7.074 eV/atom.

abc: 4.0115 4.0115 6.4429
angles: 90.00 90.00 90.00
Sites, in units of the cell vectors:
Ti  0.0000  0.0000  0.0000
Ti  0.0000  0.5000  0.6922
Ti  0.5000  0.0000  0.6922
Au  0.0000  0.0000  0.4035
N  0.5000  0.5000  0.7292

***

# 24
## BiAsS2N (PBE-GGA)

Data for crystalline BiAsS2N at its relaxed geometry.

Computed properties:
The offset from the most stable computed form comes out at 0 meV per atom. As for the space group: P4/mmm.

abc: 4.9807 4.9807 3.7026
angles: 90.00 90.00 90.00
Sites, in units of the cell vectors:
Bi  0.0000  0.0000  0.0000
As  0.5000  0.5000  0.5000
S  0.0000  0.5000  0.5000
S  0.5000  0.0000  0.5000
N  0.5000  0.5000  0.0000

***

# 25
## Rb2MnTeSe (PBE-GGA)

Data for crystalline Rb2MnTeSe at its relaxed geometry.

Computed properties:
As for the space group: P4/mmm. The total energy comes out at -3.960 eV/atom.

abc: 6.5724 6.5724 4.7359
angles: 90.00 90.00 90.00
Sites, in units of the cell vectors:
Rb  0.0000  0.5000  0.0000
Rb  0.5000  0.0000  0.0000
Mn  0.0000  0.0000  0.5000
Te  0.5000  0.5000  0.5000
Se  0.0000  0.0000  0.0000

***

# 26
## Cs2Y2ZrSe6 (PBE-GGA)

Data for crystalline Cs2Y2ZrSe6 at its relaxed geometry.

Computed properties:
As for the space group: C2/m. The total energy comes out at -5.663 eV/atom.

abc: 7.0948 7.0948 8.9197
angles: 97.92 97.92 119.75
Sites, in units of the cell vectors:
Cs  0.1697  0.8303  0.0000
Cs  0.8303  0.1697  0.0000
Y  0.3329  0.6671  0.5000
Y  0.6671  0.3329  0.5000
Zr  0.0000  0.0000  0.5000
Se  0.0643  0.3810  0.6823
Se  0.2558  0.2558  0.3190
Se  0.3810  0.0643  0.6823
Se  0.6190  0.9357  0.3177
Se  0.7442  0.7442  0.6810
Se  0.9357  0.6190  0.3177

***

# 27
## TcHgGeOsW (PBE-GGA)

Data for crystalline TcHgGeOsW at its relaxed geometry.

Computed properties:
Its formation energy is 0.32 eV per atom. The offset from the most stable computed form comes out at 121 meV per atom. As for the space group: Cm.

abc: 5.5222 5.5222 7.4639
angles: 132.13 132.13 30.50
Sites, in units of the cell vectors:
Tc  0.0000  0.0000  0.0000
Hg  0.8407  0.8407  0.4854
Ge  0.6911  0.6911  0.9741
Os  0.4742  0.4742  0.2662
W  0.2098  0.2098  0.6956

***

# 28
## ZrAl2Co (PBE-GGA)

Data for crystalline ZrAl2Co at its relaxed geometry.

Computed properties:
Its formation energy is -0.20 eV per atom. As for the space group: Fm-3m.

abc: 4.4543 4.4543 4.4543
angles: 60.00 60.00 60.00
Sites, in units of the cell vectors:
Zr  0.0000  0.0000  0.0000
Al  0.2500  0.2500  0.2500
Al  0.7500  0.7500  0.7500
Co  0.5000  0.5000  0.5000

***

Magnetic moment, respectively: 0.00, 0.00, 0.00, 0.00, 3.98, 0.00, 0.00, 0.00, 0.00, 0.00, 0.10, 0.00, 0.00, 0.00, 1.67, 0.00, 0.00, 1.12, 0.00, 0.00, 0.00, 0.00, 0.00, 0.00, 4.87, 0.00, 0.00, 1.25 Bohr magnetons per cell.